A relaxed PrEuTeBr crystal, computed with PBE.

Summary:
Its density of states at the Fermi level is 0.6331 states/eV per atom. The magnetization comes out at 2.102 μB/atom. Its energy relative to the elements, uncorrected is -1.305 eV per atom.

Structure (CIF):
```
data_PrEuTeBr
_chemical_formula_sum 'Pr4 Eu4 Te4 Br4'
_space_group_name_H-M_alt 'F -4 3 m'
_space_group_IT_number 216
_space_group_name_Hall 'F -4 2 3'
_cell_length_a 7.739
_cell_length_b 7.739
_cell_length_c 7.739
_cell_angle_alpha 90.00
_cell_angle_beta 90.00
_cell_angle_gamma 90.00
loop_
_atom_site_label
_atom_site_fract_x
_atom_site_fract_y
_atom_site_fract_z
_atom_site_occupancy
Pr1 0.000 0.000 0.000 1
Eu1 0.000 0.000 0.500 1
Te1 0.250 0.250 0.750 1
Br1 0.250 0.250 0.250 1
```

---

A relaxed Pm2Dy3YAs6 crystal, computed with PBE.

Summary:
Its density of states at the Fermi level is 0.1482 states/eV per atom. The magnetization comes out at 0.000 μB/atom. As for the energy relative to the elements: -1.5325 eV/atom.

Structure (CIF):
```
data_Pm2Dy3YAs6
_chemical_formula_sum 'Pm4 Dy6 Y2 As12'
_space_group_name_H-M_alt 'C 1 2/m 1'
_space_group_IT_number 12
_cell_length_a 18.130
_cell_length_b 4.162
_cell_length_c 8.318
_cell_angle_alpha 90.00
_cell_angle_beta 103.25
_cell_angle_gamma 90.00
loop_
_space_group_symop_operation_xyz
'x,y,z'
'-x,-y,-z'
'-x,y,-z'
'x,-y,z'
'x+1/2,y+1/2,z'
'-x+1/2,-y+1/2,-z'
'-x+1/2,y+1/2,-z'
'x+1/2,-y+1/2,z'
loop_
_atom_site_label
_atom_site_fract_x
_atom_site_fract_y
_atom_site_fract_z
_atom_site_occupancy
Pm1 0.166 0.000 0.332 1
Dy1 0.000 0.500 0.500 1
Dy2 0.167 0.000 0.834 1
Y1 0.000 0.500 0.000 1
As1 0.002 0.000 0.751 1
As2 0.165 0.500 0.587 1
As3 0.167 0.500 0.078 1
```